Below is crystalline HoEr5Tl5 at its relaxed geometry, with properties calculated at the GGA-PBE level.

Cell: 5.8225 8.5488 7.0709 Å, 98.87 90.00 109.91°
Atoms (fractional coordinates):
Tl: 0.8297 0.6595 0.7229
Tl: 0.1759 0.3517 0.7299
Er: 0.0000 0.0000 0.5000
Ho: 0.0000 0.0000 0.0000
Tl: 0.1703 0.3405 0.2771
Er: 0.3249 0.6498 0.0842
Tl: 0.5000 0.0000 0.0000
Tl: 0.8241 0.6483 0.2701
Er: 0.6335 0.2670 0.4055
Er: 0.3665 0.7330 0.5945
Er: 0.6751 0.3502 0.9158

Calculated values
- Space group: C2/m (12)
- Electronic total energy: -3.645 eV per atom
- Calculated volume: 29.68 Å³/atom
- Energy of formation from the pure elements: -84 kJ/mol of formula units